Entry 1:
The following is a DFT calculation (PBE-GGA) of InTe2SeI after structural relaxation.

Output
Mass density, g/cm3: 5.49
Polymorph energy (0 for the lowest one), meV per atom: 224
E_form (uncorrected), eV/f.u.: 2.1
Size of the total moment, Bohr magnetons per cell: 0.0

Cell and atoms, written as POSCAR:
```
InTe2SeI
1.0
5.793 0.000 0.000
0.000 5.187 0.000
0.000 0.000 5.793
Te Se I In
2 1 1 1
Direct
0.500 0.000 0.000
0.000 0.000 0.500
0.000 0.500 0.000
0.500 0.500 0.500
0.000 0.000 0.000
```



Entry 2:
The following is a DFT calculation (PBE-GGA) of Gd2HoLu after structural relaxation.

Output
DFT formation energy, eV per atom: 0.031
Mass density, g/cm3: 8.72
Polymorph energy (0 for the lowest one), meV per atom: 0
Size of the total moment, Bohr magnetons per cell: 14.5

Cell and atoms, written as POSCAR:
```
Gd2HoLu
1.0
3.537 0.000 0.000
1.769 3.063 0.000
1.769 1.021 11.494
Gd Ho Lu
2 1 1
Direct
0.249 0.249 0.252
0.751 0.751 0.748
0.000 0.000 0.000
0.500 0.500 0.500
```



Entry 3:
The following is a DFT calculation (PBE-GGA) of Pr2InI after structural relaxation.

Output
Mass density, g/cm3: 7.05
Polymorph energy (0 for the lowest one), meV per atom: 0
E_form (uncorrected), eV/f.u.: -2.7
Size of the total moment, Bohr magnetons per cell: 0.0

Cell and atoms, written as POSCAR:
```
Pr2InI
1.0
-1.560 3.126 -1.392
-2.283 -2.090 -2.136
-5.907 -0.094 6.404
In Pr I
1 2 1
Direct
0.500 0.500 0.000
0.000 0.000 0.765
0.000 0.000 0.235
0.500 0.500 0.500
```



Entry 4:
The following is a DFT calculation (PBE-GGA) of Nd2Dy5YEr after structural relaxation.

Output
DFT formation energy, eV per atom: 0.272
Mass density, g/cm3: 7.69
Size of the total moment, Bohr magnetons per cell: 0.0

Cell and atoms, written as POSCAR:
```
Nd2Dy5YEr
1.0
8.610 0.000 0.000
0.000 8.610 0.000
-4.305 -4.305 7.905
Nd Dy Er Y
4 10 2 2
Direct
0.882 0.618 0.000
0.618 0.118 0.000
0.382 0.882 0.000
0.118 0.382 0.000
0.854 0.928 0.281
0.000 0.000 0.000
0.354 0.854 0.281
0.928 0.428 0.281
0.072 0.572 0.719
0.646 0.146 0.719
0.146 0.072 0.719
0.500 0.500 0.000
0.428 0.354 0.281
0.572 0.646 0.719
0.750 0.250 0.500
0.250 0.750 0.500
0.250 0.250 0.500
0.750 0.750 0.500
```



Entry 5:
The following is a DFT calculation (PBE-GGA) of LiSi2Au after structural relaxation.

Output
Mass density, g/cm3: 6.81
Polymorph energy (0 for the lowest one), meV per atom: 14
E_form (uncorrected), eV/f.u.: -0.4
Size of the total moment, Bohr magnetons per cell: 0.0

Cell and atoms, written as POSCAR:
```
LiSi2Au
1.0
4.350 0.000 0.000
0.000 2.752 -0.001
0.000 0.002 5.295
Au Si Li
1 2 1
Direct
0.000 0.250 0.523
0.000 0.250 0.999
0.500 0.249 0.235
0.500 0.751 0.743
```



Entry 6:
The following is a DFT calculation (PBE-GGA) of Mg2CdInCl after structural relaxation.

Output
Mass density, g/cm3: 3.66
E_form (uncorrected), eV/f.u.: 0.4
Size of the total moment, Bohr magnetons per cell: 0.0

Cell and atoms, written as POSCAR:
```
Mg2CdInCl
1.0
-4.590 -0.045 -1.802
-1.241 -4.623 3.278
-1.462 2.979 3.647
Mg In Cl Cd
2 1 1 1
Direct
0.000 0.000 0.500
0.500 0.000 0.000
0.500 0.500 0.500
0.000 0.000 0.000
0.000 0.500 0.000
```



Entry 7:
The following is a DFT calculation (PBE-GGA) of Nd6H3C2O after structural relaxation.

Output
DFT total energy, eV per atom: -5.93
Mass density, g/cm3: 7.07
Size of the total moment, Bohr magnetons per cell: 0.0

Cell and atoms, written as POSCAR:
```
Nd6H3C2O
1.0
-3.665 5.004 1.528
-1.742 -3.917 -4.736
-1.228 -3.787 5.017
Nd C H O
6 2 3 1
Direct
0.923 0.590 0.769
0.410 0.077 0.231
0.744 0.744 0.231
0.590 0.923 0.769
0.256 0.256 0.769
0.077 0.410 0.231
0.666 0.334 0.000
0.334 0.666 0.000
0.500 0.500 0.500
0.176 0.824 0.500
0.824 0.176 0.500
0.000 0.000 0.000
```



Entry 8:
The following is a DFT calculation (PBE-GGA) of Tm6RuPb3 after structural relaxation.

Output
DFT formation energy, eV per atom: -0.342
Mass density, g/cm3: 10.21
Size of the total moment, Bohr magnetons per cell: 0.0

Cell and atoms, written as POSCAR:
```
Tm6RuPb3
1.0
6.060 0.000 0.121
0.000 8.687 0.000
0.151 0.000 10.731
Tm Pb Ru
12 6 2
Direct
0.636 0.449 0.270
0.880 0.654 0.558
0.403 0.794 0.435
0.903 0.706 0.935
0.864 0.949 0.230
0.136 0.051 0.770
0.597 0.206 0.565
0.380 0.846 0.058
0.364 0.551 0.730
0.120 0.346 0.442
0.620 0.154 0.942
0.097 0.294 0.065
0.000 0.000 0.500
0.399 0.112 0.266
0.101 0.612 0.234
0.601 0.888 0.734
0.899 0.388 0.766
0.500 0.500 0.000
0.000 0.000 0.000
0.500 0.500 0.500
```



Entry 9:
The following is a DFT calculation (PBE-GGA) of CdPPt2 after structural relaxation.

Output
DFT formation energy, eV per atom: -0.258
Mass density, g/cm3: 11.05
Polymorph energy (0 for the lowest one), meV per atom: 0
Size of the total moment, Bohr magnetons per cell: 0.0

Cell and atoms, written as POSCAR:
```
CdPPt2
1.0
-1.251 4.506 2.358
-2.651 4.429 -0.887
-3.939 -1.657 1.738
Cd Pt P
1 2 1
Direct
0.478 0.478 0.519
0.030 0.030 0.044
0.311 0.311 0.042
0.680 0.680 0.896
```



Entry 10:
The following is a DFT calculation (PBE-GGA) of Be3CdHg after structural relaxation.

Output
DFT formation energy, eV per atom: 0.863
Mass density, g/cm3: 6.19
Polymorph energy (0 for the lowest one), meV per atom: 0
Size of the total moment, Bohr magnetons per cell: 0.0

Cell and atoms, written as POSCAR:
```
Be3CdHg
1.0
-4.045 -1.698 1.011
0.564 -3.201 -3.115
1.894 -2.672 3.089
Be Cd Hg
3 1 1
Direct
0.000 0.500 0.000
0.000 0.000 0.500
0.500 0.000 0.000
0.500 0.500 0.500
0.000 0.000 0.000
```



Entry 11:
The following is a DFT calculation (PBE-GGA) of AlAsF2 after structural relaxation.

Output
Mass density, g/cm3: 4.02
Polymorph energy (0 for the lowest one), meV per atom: 981
E_form (uncorrected), eV/f.u.: -2.4
Size of the total moment, Bohr magnetons per cell: 1.1

Cell and atoms, written as POSCAR:
```
AlAsF2
1.0
0.000 3.068 3.068
3.068 0.000 3.068
3.068 3.068 0.000
F As Al
2 1 1
Direct
0.750 0.750 0.750
0.250 0.250 0.250
0.500 0.500 0.500
0.000 0.000 0.000
```



Entry 12:
The following is a DFT calculation (PBE-GGA) of Mn2TlSi after structural relaxation.

Output
Mass density, g/cm3: 9.55
E_form (uncorrected), eV/f.u.: 0.8
Size of the total moment, Bohr magnetons per cell: 4.0

Cell and atoms, written as POSCAR:
```
Mn2TlSi
1.0
-2.570 0.565 1.232
-1.214 -2.159 -1.542
0.302 -6.624 3.666
Si Mn Tl
1 2 1
Direct
0.500 0.250 0.250
0.000 0.935 0.059
0.000 0.565 0.441
0.500 0.750 0.750
```